Compound: NiPdI2O
Source: Alexandria
Functional: PBE+U
Structure: optimized geometry

Values from the calculation:
Distance to the lowest polymorph of the same formula = 0.000 eV/f.u.
ρ = 6.69 g/cm3
V = 108 Å³/cell
Size of the total moment = 0.502 μB/atom

Unit cell a=5.5498 b=5.5498 c=3.5030 alpha=90.00 beta=90.00 gamma=90.00
Fractional coordinates of all 5 atoms:
Ni 0.0000 0.0000 0.0000
Pd 0.5000 0.5000 0.5000
I 0.0000 0.5000 0.0000
I 0.5000 0.0000 0.0000
O 0.0000 0.0000 0.5000